(1)
Here is BaLaMgGe2 after structural relaxation from Alexandria via LeMat-Bulk. Energies are from PBE-GGA.

Values from the calculation:
- Symmetry: P4/mmm (123)
- Fermi-level density of states: 3.875 states/eV/cell
- Crystal system: tetragonal
- Energy of formation: 5.0 eV/f.u.

abc: 5.731 5.731 5.921
angles: 90.00 90.00 90.00
Element x y z (fractional)
Ba 0.000 0.000 0.000
La 0.000 0.000 0.500
Mg 0.500 0.500 0.500
Ge 0.000 0.500 0.000
Ge 0.500 0.000 0.000

(2)
Here is YAl4Bi after structural relaxation from Alexandria via LeMat-Bulk. Energies are from PBE-GGA.

Values from the calculation:
- Symmetry: F-43m (216)
- Fermi-level density of states: 4.963 states/eV/cell
- Crystal system: cubic
- Energy of formation: -1.0 eV/f.u.

abc: 5.622 5.622 5.622
angles: 60.00 60.00 60.00
Element x y z (fractional)
Y 0.000 0.000 0.000
Al 0.125 0.625 0.625
Al 0.625 0.125 0.625
Al 0.625 0.625 0.125
Al 0.625 0.625 0.625
Bi 0.250 0.250 0.250

(3)
Here is Zr2CdBr after structural relaxation from Alexandria via LeMat-Bulk. Energies are from PBE-GGA.

Values from the calculation:
- Symmetry: F-43m (216)
- Fermi-level density of states: 4.414 states/eV/cell
- Crystal system: cubic
- E_form (uncorrected): 45.2 kJ/mol of atoms
- ΔE to the lowest computed polymorph: 3.30 eV per formula unit

abc: 5.138 5.138 5.138
angles: 60.00 60.00 60.00
Element x y z (fractional)
Zr 0.000 0.000 0.000
Zr 0.250 0.250 0.250
Cd 0.750 0.750 0.750
Br 0.500 0.500 0.500

(4)
Here is Cs2Rb8Hg after structural relaxation from Alexandria via LeMat-Bulk. Energies are from PBE-GGA.

Values from the calculation:
- Symmetry: C2/m (12)
- Fermi-level density of states: 9.352 states/eV/cell
- Crystal system: monoclinic
- Energy of formation: -0.3 eV/f.u.

abc: 13.069 13.069 9.833
angles: 99.43 99.43 34.40
Element x y z (fractional)
Cs 0.207 0.207 0.140
Cs 0.793 0.793 0.860
Rb 0.013 0.013 0.272
Rb 0.174 0.174 0.641
Rb 0.368 0.368 0.620
Rb 0.418 0.418 0.128
Rb 0.582 0.582 0.872
Rb 0.632 0.632 0.380
Rb 0.826 0.826 0.359
Rb 0.987 0.987 0.728
Hg 0.500 0.500 0.500

(5)
Here is Ba3Cd2As4Pd2 after structural relaxation from Alexandria via LeMat-Bulk. Energies are from PBE-GGA.

Values from the calculation:
- Symmetry: P-3m1 (164)
- Fermi-level density of states: 4.387 states/eV/cell
- Crystal system: trigonal
- Energy of formation: -8.7 eV/f.u.

abc: 4.464 4.464 17.464
angles: 90.00 90.00 120.00
Element x y z (fractional)
Ba 0.000 0.000 0.000
Ba 0.000 0.000 0.272
Ba 0.000 0.000 0.728
Cd 0.333 0.667 0.557
Cd 0.667 0.333 0.443
As 0.333 0.667 0.392
As 0.333 0.667 0.863
As 0.667 0.333 0.137
As 0.667 0.333 0.608
Pd 0.333 0.667 0.136
Pd 0.667 0.333 0.864

(6)
Here is Ac2Mg5Sn3 after structural relaxation from Alexandria via LeMat-Bulk. Energies are from PBE-GGA.

Values from the calculation:
- Symmetry: Ibam (72)
- Fermi-level density of states: 5.758 states/eV/cell
- Crystal system: orthorhombic
- Energy of formation: -3.7 eV/f.u.
- ΔE to the lowest computed polymorph: 0.00 eV per formula unit

abc: 9.828 9.828 9.828
angles: 104.64 88.65 140.43
Element x y z (fractional)
Ac 0.122 0.233 0.355
Ac 0.378 0.733 0.111
Ac 0.622 0.267 0.889
Ac 0.878 0.767 0.645
Mg 0.029 0.750 0.279
Mg 0.139 0.886 0.026
Mg 0.250 0.750 0.500
Mg 0.361 0.386 0.747
Mg 0.471 0.750 0.721
Mg 0.529 0.250 0.279
Mg 0.639 0.614 0.253
Mg 0.750 0.250 0.500
Mg 0.861 0.114 0.974
Mg 0.971 0.250 0.721
Sn 0.113 0.655 0.768
Sn 0.250 0.250 0.000
Sn 0.387 0.155 0.542
Sn 0.613 0.845 0.458
Sn 0.750 0.750 0.000
Sn 0.887 0.345 0.232

(7)
Here is LaPmSi3 after structural relaxation from Alexandria via LeMat-Bulk. Energies are from PBE-GGA.

Values from the calculation:
- Symmetry: Cmcm (63)
- Fermi-level density of states: 4.066 states/eV/cell
- Crystal system: orthorhombic
- E_form (uncorrected): -70.4 kJ/mol of atoms

abc: 12.681 12.681 4.010
angles: 90.00 90.00 159.81
Element x y z (fractional)
La 0.070 0.930 0.750
La 0.930 0.070 0.250
Pm 0.202 0.798 0.250
Pm 0.798 0.202 0.750
Si 0.324 0.676 0.250
Si 0.380 0.620 0.750
Si 0.475 0.525 0.750
Si 0.525 0.475 0.250
Si 0.620 0.380 0.250
Si 0.676 0.324 0.750

(8)
Here is Li2BSe after structural relaxation from Alexandria via LeMat-Bulk. Energies are from PBE-GGA.

Values from the calculation:
- Symmetry: I-42d (122)
- Fermi-level density of states: 2.856 states/eV/cell
- Crystal system: tetragonal
- E_form (uncorrected): 28.9 kJ/mol of atoms
- ΔE to the lowest computed polymorph: 0.38 eV per formula unit

abc: 8.636 8.636 8.636
angles: 155.59 155.59 34.80
Element x y z (fractional)
Li 0.101 0.625 0.976
Li 0.375 0.351 0.476
Li 0.649 0.125 0.024
Li 0.875 0.899 0.524
B 0.000 0.000 0.000
B 0.750 0.250 0.500
Se 0.250 0.750 0.500
Se 0.500 0.500 0.000

(9)
Here is Tb5Ho4Th2 after structural relaxation from Alexandria via LeMat-Bulk. Energies are from PBE-GGA.

Values from the calculation:
- Symmetry: Immm (71)
- Fermi-level density of states: 15.976 states/eV/cell
- Crystal system: orthorhombic
- Energy of formation: 3.0 eV/f.u.
- ΔE to the lowest computed polymorph: 1.48 eV per formula unit

abc: 11.083 11.083 11.083
angles: 161.66 120.69 62.64
Element x y z (fractional)
Tb 0.000 0.000 0.000
Tb 0.141 0.306 0.835
Tb 0.471 0.306 0.165
Tb 0.529 0.694 0.835
Tb 0.859 0.694 0.165
Ho 0.269 0.500 0.769
Ho 0.420 0.920 0.500
Ho 0.580 0.080 0.500
Ho 0.731 0.500 0.231
Th 0.169 0.669 0.500
Th 0.831 0.331 0.500

(10)
Here is LiHf2Si2 after structural relaxation from Alexandria via LeMat-Bulk. Energies are from PBE-GGA.

Values from the calculation:
- Symmetry: I4/mmm (139)
- Fermi-level density of states: 4.060 states/eV/cell
- Crystal system: tetragonal
- E_form (uncorrected): -7.0 kJ/mol of atoms

abc: 6.331 6.331 6.331
angles: 139.34 139.34 58.86
Element x y z (fractional)
Li 0.000 0.000 0.000
Hf 0.250 0.750 0.500
Hf 0.750 0.250 0.500
Si 0.391 0.391 0.000
Si 0.609 0.609 0.000

(11)
Here is Te2PtI after structural relaxation from Alexandria via LeMat-Bulk. Energies are from PBE-GGA.

Values from the calculation:
- Symmetry: P4/mmm (123)
- Fermi-level density of states: 2.264 states/eV/cell
- Crystal system: tetragonal
- E_form (uncorrected): 32.4 kJ/mol of atoms

abc: 4.330 4.330 5.880
angles: 90.00 90.00 90.00
Element x y z (fractional)
Te 0.000 0.000 0.000
Te 0.500 0.500 0.500
Pt 0.000 0.000 0.500
I 0.500 0.500 0.000

(12)
Here is SiBiAsBr2 after structural relaxation from Alexandria via LeMat-Bulk. Energies are from PBE-GGA.

Values from the calculation:
- Symmetry: P4/mmm (123)
- Fermi-level density of states: 2.344 states/eV/cell
- Crystal system: tetragonal
- E_form (uncorrected): 23.4 kJ/mol of atoms
- ΔE to the lowest computed polymorph: 0.00 eV per formula unit

abc: 4.970 4.970 5.283
angles: 90.00 90.00 90.00
Element x y z (fractional)
Si 0.000 0.000 0.000
Bi 0.500 0.500 0.500
As 0.000 0.000 0.500
Br 0.000 0.500 0.000
Br 0.500 0.000 0.000

(13)
Here is Sb2HICl after structural relaxation from Alexandria via LeMat-Bulk. Energies are from PBE-GGA.

Values from the calculation:
- Symmetry: P4/mmm (123)
- Fermi-level density of states: 2.145 states/eV/cell
- Crystal system: tetragonal
- ΔE to the lowest computed polymorph: 0.00 eV per formula unit

abc: 4.696 4.696 5.210
angles: 90.00 90.00 90.00
Element x y z (fractional)
Sb 0.000 0.500 0.000
Sb 0.500 0.000 0.000
H 0.000 0.000 0.000
I 0.000 0.000 0.500
Cl 0.500 0.500 0.500

(14)
Here is Ho4HgRh2 after structural relaxation from Alexandria via LeMat-Bulk. Energies are from PBE-GGA.

Values from the calculation:
- Symmetry: Fdd2 (43)
- Fermi-level density of states: 9.275 states/eV/cell
- Crystal system: orthorhombic
- Energy of formation: -4.4 eV/f.u.

abc: 8.118 7.147 8.915
angles: 59.51 49.35 71.14
Element x y z (fractional)
Ho 0.060 0.245 0.034
Ho 0.216 0.590 0.190
Ho 0.245 0.060 0.660
Ho 0.329 0.671 0.460
Ho 0.590 0.216 0.005
Ho 0.671 0.329 0.540
Ho 0.710 0.790 0.579
Ho 0.790 0.710 0.921
Hg 0.096 0.096 0.404
Hg 0.846 0.846 0.154
Rh 0.339 0.581 0.804
Rh 0.446 0.974 0.911
Rh 0.581 0.339 0.276
Rh 0.974 0.446 0.669

(15)
Here is LiHoAgPt after structural relaxation from Alexandria via LeMat-Bulk. Energies are from PBE-GGA.

Values from the calculation:
- Symmetry: F-43m (216)
- Fermi-level density of states: 2.606 states/eV/cell
- Crystal system: cubic
- Energy of formation: -2.4 eV/f.u.

abc: 4.768 4.768 4.768
angles: 60.00 60.00 60.00
Element x y z (fractional)
Li 0.000 0.000 0.000
Ho 0.500 0.500 0.500
Ag 0.250 0.250 0.250
Pt 0.750 0.750 0.750

(16)
Here is Zr3W after structural relaxation from Alexandria via LeMat-Bulk. Energies are from PBE-GGA.

Values from the calculation:
- Symmetry: R-3m (166)
- Fermi-level density of states: 5.513 states/eV/cell
- Crystal system: trigonal
- Energy of formation: 0.8 eV/f.u.
- ΔE to the lowest computed polymorph: 0.37 eV per formula unit

abc: 5.718 5.718 5.718
angles: 117.04 117.04 117.04
Element x y z (fractional)
Zr 0.000 0.500 0.500
Zr 0.500 0.000 0.500
Zr 0.500 0.500 0.000
W 0.000 0.000 0.000

(17)
Here is KRb2SbBr8 after structural relaxation from Alexandria via LeMat-Bulk. Energies are from PBE-GGA.

Values from the calculation:
- Symmetry: P-1 (2)
- Crystal system: triclinic
- E_form (uncorrected): -101.2 kJ/mol of atoms

abc: 6.363 8.209 9.975
angles: 86.04 73.97 83.79
Element x y z (fractional)
K 0.000 0.000 0.000
Rb 0.171 0.502 0.223
Rb 0.829 0.498 0.777
Sb 0.000 0.000 0.500
Br 0.175 0.825 0.687
Br 0.216 0.254 0.516
Br 0.290 0.319 0.911
Br 0.326 0.882 0.296
Br 0.674 0.118 0.704
Br 0.710 0.681 0.089
Br 0.784 0.746 0.484
Br 0.825 0.175 0.313

(18)
Here is CsTbPtCl6 after structural relaxation from Alexandria via LeMat-Bulk. Energies are from PBE-GGA.

Values from the calculation:
- Symmetry: P312 (149)
- Crystal system: trigonal
- E_form (uncorrected): -143.2 kJ/mol of atoms

abc: 6.756 6.756 7.978
angles: 90.00 90.00 120.00
Element x y z (fractional)
Cs 0.000 0.000 0.000
Tb 0.667 0.333 0.500
Pt 0.333 0.667 0.500
Cl 0.012 0.375 0.689
Cl 0.012 0.637 0.311
Cl 0.363 0.375 0.311
Cl 0.363 0.988 0.689
Cl 0.625 0.637 0.689
Cl 0.625 0.988 0.311

(19)
Here is Rb2PuO3F3 after structural relaxation from Alexandria via LeMat-Bulk. Energies are from PBE-GGA.

Values from the calculation:
- Symmetry: P-62m (189)
- Fermi-level density of states: 2.937 states/eV/cell
- Crystal system: hexagonal
- E_form (uncorrected): -219.2 kJ/mol of atoms

abc: 7.068 7.068 3.352
angles: 90.00 90.00 120.00
Element x y z (fractional)
Rb 0.333 0.667 0.000
Rb 0.667 0.333 0.000
Pu 0.000 0.000 0.500
O 0.000 0.197 0.000
O 0.197 0.000 0.000
O 0.803 0.803 0.000
F 0.000 0.662 0.500
F 0.338 0.338 0.500
F 0.662 0.000 0.500

(20)
Here is Li2PbAuO4 after structural relaxation from Alexandria via LeMat-Bulk. Energies are from PBE-GGA.

Values from the calculation:
- Symmetry: I-42m (121)
- Fermi-level density of states: 2.638 states/eV/cell
- Crystal system: tetragonal
- E_form (uncorrected): -86.5 kJ/mol of atoms

abc: 5.262 5.262 5.262
angles: 118.19 118.19 93.16
Element x y z (fractional)
Li 0.250 0.750 0.500
Li 0.750 0.250 0.500
Pb 0.000 0.000 0.000
Au 0.500 0.500 0.000
O 0.103 0.616 0.000
O 0.384 0.384 0.487
O 0.616 0.103 0.000
O 0.897 0.897 0.513

(21)
Here is Sr2TlC2O6 after structural relaxation from Alexandria via LeMat-Bulk. Energies are from PBE-GGA.

Values from the calculation:
- Symmetry: P-1 (2)
- Fermi-level density of states: 0.494 states/eV/cell
- Crystal system: triclinic
- E_form (uncorrected): -179.1 kJ/mol of atoms

abc: 5.353 6.354 6.454
angles: 69.45 70.02 72.21
Element x y z (fractional)
Sr 0.214 0.204 0.201
Sr 0.786 0.796 0.799
Tl 0.500 0.500 0.500
C 0.098 0.769 0.194
C 0.902 0.231 0.806
O 0.001 0.365 0.856
O 0.019 0.160 0.623
O 0.318 0.840 0.058
O 0.682 0.160 0.942
O 0.981 0.840 0.377
O 0.999 0.635 0.144

(22)
Here is CsLaTeCl2 after structural relaxation from Alexandria via LeMat-Bulk. Energies are from PBE-GGA.

Values from the calculation:
- Symmetry: Cmcm (63)
- Crystal system: orthorhombic
- E_form (uncorrected): -188.8 kJ/mol of atoms

abc: 9.650 9.650 9.223
angles: 90.00 90.00 151.89
Element x y z (fractional)
Cs 0.216 0.784 0.750
Cs 0.784 0.216 0.250
La 0.500 0.500 0.000
La 0.500 0.500 0.500
Te 0.002 0.998 0.250
Te 0.998 0.002 0.750
Cl 0.353 0.647 0.009
Cl 0.353 0.647 0.491
Cl 0.647 0.353 0.509
Cl 0.647 0.353 0.991

(23)
Here is RbHg2I4 after structural relaxation from Alexandria via LeMat-Bulk. Energies are from PBE-GGA.

Values from the calculation:
- Symmetry: C2 (5)
- Fermi-level density of states: 5.557 states/eV/cell
- Crystal system: monoclinic
- E_form (uncorrected): -47.6 kJ/mol of atoms
- ΔE to the lowest computed polymorph: 0.20 eV per formula unit

abc: 8.097 8.097 11.603
angles: 110.16 110.16 90.58
Element x y z (fractional)
Rb 0.000 0.000 0.000
Rb 0.752 0.248 0.500
Hg 0.375 0.625 0.251
Hg 0.375 0.625 0.749
Hg 0.377 0.125 0.751
Hg 0.875 0.623 0.249
I 0.044 0.926 0.678
I 0.074 0.956 0.322
I 0.116 0.499 0.822
I 0.249 0.363 0.323
I 0.501 0.884 0.178
I 0.637 0.751 0.677
I 0.676 0.290 0.177
I 0.710 0.324 0.823

no.,total moment (μB/f.u.),electronic total energy (eV/atom)
1,0.00,-2.53
2,0.00,-4.39
3,3.43,-4.45
4,0.00,-0.91
5,0.00,-4.12
6,0.00,-3.18
7,0.00,-5.92
8,0.00,-3.20
9,0.00,-4.85
10,0.00,-6.61
11,0.00,-3.13
12,0.00,-3.22
13,0.00,-2.59
14,0.00,-5.38
15,0.00,-4.45
16,0.00,-9.46
17,0.00,-2.76
18,2.00,-4.00
19,1.00,-6.36
20,0.74,-4.73
21,1.01,-6.76
22,0.00,-4.48
23,0.00,-1.60